1.
The following is a PBE calculation of a relaxed Nd8Sm2Tm crystal, from Alexandria via LeMat-Bulk.

Properties
**DFT formation energy**: 0.160 eV/f.u.
**Density**: 7.1 g cm⁻³
**Distance to the lowest polymorph of the same formula**: 0 meV/atom
**Total magnetization**: 0.00 μB/atom
**DOS at the Fermi energy**: 1.539 states/eV/atom

Unit cell a=9.659 b=9.659 c=8.170 alpha=104.67 beta=104.67 gamma=31.04
Element x y z (fractional)
Nd 0.046 0.046 0.229
Nd 0.136 0.136 0.682
Nd 0.319 0.319 0.590
Nd 0.409 0.409 0.048
Nd 0.591 0.591 0.952
Nd 0.681 0.681 0.410
Nd 0.864 0.864 0.318
Nd 0.954 0.954 0.771
Sm 0.227 0.227 0.136
Sm 0.773 0.773 0.864
Tm 0.500 0.500 0.500

---

2.
The following is a PBE calculation of a relaxed Nd2SmTm8 crystal, from Alexandria via LeMat-Bulk.

Properties
**DFT formation energy**: 0.296 eV/f.u.
**Density**: 8.6 g cm⁻³
**Distance to the lowest polymorph of the same formula**: 0 meV/atom
**Total magnetization**: 0.00 μB/atom
**DOS at the Fermi energy**: 1.380 states/eV/atom

Unit cell a=9.356 b=9.356 c=7.902 alpha=104.64 beta=104.64 gamma=31.02
Element x y z (fractional)
Nd 0.227 0.227 0.137
Nd 0.773 0.773 0.863
Sm 0.500 0.500 0.500
Tm 0.044 0.044 0.227
Tm 0.136 0.136 0.679
Tm 0.319 0.319 0.592
Tm 0.410 0.410 0.046
Tm 0.590 0.590 0.954
Tm 0.681 0.681 0.408
Tm 0.864 0.864 0.321
Tm 0.956 0.956 0.773